PBE KTlICl2, relaxed; raw formation energy = -1041 meV/atom; D(E_F) = 1.42 states/eV/cell; magnetization = 0.0 μB per formula unit
1.0
5.5903 0.0000 0.0000
0.0000 5.5903 0.0000
0.0000 0.0000 6.1376
K Tl I Cl
1 1 1 2
Cartesian
0.0000 0.0000 0.0000
2.7951 2.7951 3.0688
2.7951 2.7951 0.0000
0.0000 2.7951 3.0688
2.7951 0.0000 3.0688